VS3O: optimized geometry, PBE+U.

a b c (Å): 4.610 4.610 4.610
angles (deg): 90.00 90.00 90.00
Fractional coordinates of all 5 atoms:
S 0.000 0.000 0.500
S 0.000 0.500 0.000
S 0.500 0.000 0.000
V 0.000 0.000 0.000
O 0.500 0.500 0.500

Results
Space group: No. 221
Distance to the lowest polymorph of the same formula in meV/atom: 69.5
N(E_F) in states/eV/f.u.: 7.4